1.
Pm6Sm2Ho: relaxed, PBE. Values from VASP.

Geometry as Quantum ESPRESSO input:
```
&SYSTEM
  ibrav = 0, nat = 18, ntyp = 3
/
ATOMIC_SPECIES
Pm 145.00 Pm.upf
Sm 150.36 Sm.upf
Ho 164.93 Ho.upf
ATOMIC_POSITIONS crystal
Pm 0.0374 0.4406 0.7211
Pm 0.1482 0.7794 0.9933
Pm 0.2206 0.8518 0.5067
Pm 0.2767 0.4607 0.1810
Pm 0.4406 0.0374 0.2211
Pm 0.4607 0.2767 0.6810
Pm 0.5393 0.7233 0.3190
Pm 0.5594 0.9626 0.7789
Pm 0.7233 0.5393 0.8190
Pm 0.7794 0.1482 0.4933
Pm 0.8518 0.2206 0.0067
Pm 0.9626 0.5594 0.2789
Sm 0.1213 0.1683 0.3694
Sm 0.1683 0.1213 0.8694
Sm 0.8317 0.8787 0.1306
Sm 0.8787 0.8317 0.6306
Ho 0.3824 0.6176 0.7500
Ho 0.6176 0.3824 0.2500
CELL_PARAMETERS angstrom
6.4826 -7.3014 0.0000
6.4826 7.3014 0.0000
-1.7589 0.0000 6.4897
```

Calculated values
ρ: 7.2 g/cm3
Space-group type: C2/c (15)
Electronic total energy: -0.169 Ha/atom
Energy relative to the elements: 99 kJ/mol of formula units

2.
Ac5Nd6Tm2: relaxed, PBE. Values from VASP.

Geometry as Quantum ESPRESSO input:
```
&SYSTEM
  ibrav = 0, nat = 26, ntyp = 3
/
ATOMIC_SPECIES
Ac 227.00 Ac.upf
Nd 144.24 Nd.upf
Tm 168.93 Tm.upf
ATOMIC_POSITIONS crystal
Ac 0.0000 0.0000 0.0000
Ac 0.0657 0.4235 0.0000
Ac 0.1460 0.7231 0.0000
Ac 0.3540 0.2231 0.0000
Ac 0.4343 0.9235 0.0000
Ac 0.5000 0.5000 0.0000
Ac 0.5657 0.0765 0.0000
Ac 0.6460 0.7769 0.0000
Ac 0.8540 0.2769 0.0000
Ac 0.9343 0.5765 0.0000
Nd 0.0818 0.1539 0.0000
Nd 0.1640 0.8812 0.5000
Nd 0.2255 0.5570 0.5000
Nd 0.2745 0.0570 0.5000
Nd 0.3360 0.3812 0.5000
Nd 0.4182 0.6539 0.0000
Nd 0.5818 0.3461 0.0000
Nd 0.6640 0.6188 0.5000
Nd 0.7255 0.9430 0.5000
Nd 0.7745 0.4430 0.5000
Nd 0.8360 0.1188 0.5000
Nd 0.9182 0.8461 0.0000
Tm 0.1160 0.2837 0.5000
Tm 0.3840 0.7837 0.5000
Tm 0.6160 0.2163 0.5000
Tm 0.8840 0.7163 0.5000
CELL_PARAMETERS angstrom
12.0235 0.0000 0.0000
0.0000 21.9525 0.0000
0.0000 0.0000 3.8135
```

Calculated values
ρ: 7.7 g/cm3
Space-group type: Pbam (55)
Electronic total energy: -0.161 Ha/atom
Energy relative to the elements: 94 kJ/mol of formula units

3.
HfReSi2: relaxed, PBE. Values from VASP.

Geometry as Quantum ESPRESSO input:
```
&SYSTEM
  ibrav = 0, nat = 8, ntyp = 3
/
ATOMIC_SPECIES
Hf 178.49 Hf.upf
Re 186.21 Re.upf
Si 28.09 Si.upf
ATOMIC_POSITIONS crystal
Hf 0.0000 0.0000 0.0000
Hf 0.7500 0.2500 0.5000
Re 0.2500 0.7500 0.5000
Re 0.5000 0.5000 0.0000
Si 0.1621 0.6250 0.0371
Si 0.3750 0.4121 0.5371
Si 0.5879 0.1250 0.9629
Si 0.8750 0.8379 0.4629
CELL_PARAMETERS angstrom
-1.9403 1.9403 9.1111
1.9403 -1.9403 9.1111
1.9403 1.9403 -9.1111
```

Calculated values
ρ: 10.2 g/cm3
Space-group type: I-42d (122)
Electronic total energy: -0.301 Ha/atom
Formation energy from raw total energies: 12.7 kJ per mole of atoms